1.
DFT (PBE-GGA) results for a relaxed BeZnH2S crystal.

## Properties
The total energy is -3.2216 eV per atom. The energy above the most stable polymorph in this dataset comes out at 208 meV per atom.

Cell: 3.395 3.394 7.606 Å, 94.00 98.63 120.05°
Fractional coordinates of all 5 atoms:
H (0.099, 0.678, 0.165)
S (0.218, 0.759, 0.364)
Be (0.601, 0.465, 0.455)
H (0.703, 0.549, 0.646)
Zn (0.904, 0.598, 0.895)

=====

2.
DFT (PBE-GGA) results for a relaxed BeZnH2S crystal.

## Properties
The total energy is -3.0658 eV per atom. The energy above the most stable polymorph in this dataset comes out at 364 meV per atom.

Cell: 3.157 3.740 5.661 Å, 103.39 105.25 94.79°
Fractional coordinates of all 5 atoms:
H (0.937, 0.190, 0.790)
Be (0.479, 0.247, 0.890)
S (0.639, 0.302, 0.270)
H (0.997, 0.118, 0.281)
Zn (0.899, 0.669, 0.719)

=====

3.
DFT (PBE-GGA) results for a relaxed BeZnH2S crystal.

## Properties
The total energy is -3.2118 eV per atom. The energy above the most stable polymorph in this dataset comes out at 218 meV per atom.

Cell: 3.387 4.680 4.848 Å, 102.16 95.37 106.46°
Fractional coordinates of all 5 atoms:
H (0.084, 0.385, 0.292)
S (0.565, 0.252, 0.725)
H (0.508, 0.014, 0.853)
Be (0.991, 0.158, 0.456)
Zn (0.852, 0.666, 0.201)

=====

4.
DFT (PBE-GGA) results for a relaxed BeZnH2S crystal.

## Properties
The total energy is -3.3630 eV per atom. The energy above the most stable polymorph in this dataset comes out at 66 meV per atom.

Cell: 3.411 3.410 9.439 Å, 94.64 93.57 119.96°
Fractional coordinates of all 5 atoms:
Be (0.385, 0.680, 0.803)
Zn (0.502, 0.793, 0.095)
H (0.043, 0.487, 0.393)
S (0.041, 0.002, 0.774)
H (0.027, 0.611, 0.460)

=====

5.
DFT (PBE-GGA) results for a relaxed Be3SbH crystal.

## Properties
The total energy is -2.0892 eV per atom. The energy above the most stable polymorph in this dataset comes out at 999 meV per atom.

Cell: 4.782 4.782 4.782 Å, 90.00 90.00 90.00°
Fractional coordinates of all 5 atoms:
Sb (0.000, 0.000, 0.000)
Be (0.500, 0.000, 0.000)
Be (0.000, 0.000, 0.500)
H (0.500, 0.500, 0.500)
Be (0.000, 0.500, 0.000)

=====

6.
DFT (PBE-GGA) results for a relaxed BeSbH2 crystal.

## Properties
The total energy is -3.5913 eV per atom. The energy above the most stable polymorph in this dataset comes out at 59 meV per atom.

Cell: 4.810 4.166 7.826 Å, 90.00 96.89 90.00°
Fractional coordinates of all 8 atoms:
Be (0.599, 0.750, 0.534)
Sb (0.445, 0.500, 0.802)
H (0.157, 0.500, 0.163)
H (0.083, 0.500, 0.243)
Sb (0.880, 0.000, 0.794)
H (0.713, 0.500, 0.433)
H (0.439, 0.000, 0.437)
Be (0.599, 0.250, 0.534)